## LiGaOs2 (PBE)

Data for a relaxed LiGaOs2 crystal.

Calculated values
**Size of the total moment**: 0.0 μB/cell
**Energy of formation from the pure elements**: 0.652 eV/atom

Cell and atoms, written as CIF:
```
data_LiGaOs2
_chemical_formula_sum 'Li4 Ga4 Os8'
_space_group_name_H-M_alt 'I -4 2 d'
_space_group_IT_number 122
_space_group_name_Hall 'I -4 2bw'
_cell_length_a 7.6325
_cell_length_b 7.6325
_cell_length_c 4.5602
_cell_angle_alpha 90.00
_cell_angle_beta 90.00
_cell_angle_gamma 90.00
loop_
_atom_site_label
_atom_site_fract_x
_atom_site_fract_y
_atom_site_fract_z
_atom_site_occupancy
Li1 0.0000 0.0000 0.0000 1
Ga1 0.0000 0.0000 0.5000 1
Os1 0.1867 0.7500 0.6250 1
```